Entry 1:
Crystalline CaThSn2 at its relaxed geometry, computed with PBE-GGA.

Calculated values
The calculation puts the calculated volume at 118.0 Å³ per cell. As for the symmetry: R-3m (166). As for the formation energy from the elements: -9.4 kcal/mol of atoms.

a b c (Å): 3.6331 3.6331 10.5323
angles (deg): 80.07 80.07 60.00
Last column: nearest neighbours and their distance in Å.
Fractional coordinates of all 4 atoms:
1 Ca 0.0000 0.0000 0.0000  6 Sn 3.27, 6 Ca 3.63
2 Sn 0.7475 0.7475 0.7574  3 Ca 3.27, 3 Th 3.38, 6 Sn 3.63
3 Sn 0.2525 0.2525 0.2426  3 Ca 3.27, 3 Th 3.38, 6 Sn 3.63
4 Th 0.5000 0.5000 0.5000  6 Sn 3.38, 6 Th 3.63

Entry 2:
Crystalline CaThSn2 at its relaxed geometry, computed with PBE-GGA.

Calculated values
The calculation puts the calculated volume at 113.4 Å³ per cell. As for the symmetry: P4/mmm (123). As for the formation energy from the elements: -12.8 kcal/mol of atoms.

a b c (Å): 3.5230 3.5230 9.1375
angles (deg): 90.00 90.00 90.00
Last column: nearest neighbours and their distance in Å.
Fractional coordinates of all 4 atoms:
1 Ca 0.5000 0.5000 0.5000  8 Sn 3.36, 4 Ca 3.52
2 Sn 0.0000 0.0000 0.7464  4 Ca 3.36, 4 Th 3.40, 4 Sn 3.52
3 Sn 0.0000 0.0000 0.2536  4 Ca 3.36, 4 Th 3.40, 4 Sn 3.52
4 Th 0.5000 0.5000 0.0000  8 Sn 3.40, 4 Th 3.52

Entry 3:
Crystalline CaTh4Sn15 at its relaxed geometry, computed with PBE-GGA.

Calculated values
The calculation puts the calculated volume at 537.8 Å³ per cell. As for the symmetry: P4/mmm (123). As for the formation energy from the elements: -9.9 kcal/mol of atoms.

a b c (Å): 4.7771 4.7771 23.5683
angles (deg): 90.00 90.00 90.00
Last column: nearest neighbours and their distance in Å.
Fractional coordinates of all 20 atoms:
1 Ca 0.0000 0.0000 0.0000  12 Sn 3.35-3.38
2 Th 0.0000 0.0000 0.2026  12 Sn 3.33-3.40
3 Th 0.0000 0.0000 0.4003  12 Sn 3.35-3.38
4 Th 0.0000 0.0000 0.5997  12 Sn 3.35-3.38
5 Th 0.0000 0.0000 0.7974  12 Sn 3.33-3.40
6 Sn 0.5000 0.5000 0.0000  8 Sn 3.35, 4 Ca 3.38
7 Sn 0.5000 0.5000 0.1992  8 Sn 3.35-3.38, 4 Th 3.38
8 Sn 0.5000 0.5000 0.4003  8 Sn 3.35, 4 Th 3.38
9 Sn 0.5000 0.5000 0.5997  8 Sn 3.35, 4 Th 3.38
10 Sn 0.5000 0.5000 0.8008  8 Sn 3.35-3.38, 4 Th 3.38
11 Sn 0.5000 0.0000 0.0997  8 Sn 3.35-3.38, 2 Ca 3.35, 2 Th 3.40
12 Sn 0.5000 0.0000 0.3008  4 Th 3.33-3.35, 8 Sn 3.35-3.38
13 Sn 0.5000 0.0000 0.5000  4 Th 3.35, 8 Sn 3.35-3.38
14 Sn 0.5000 0.0000 0.6992  4 Th 3.33-3.35, 8 Sn 3.35-3.38
15 Sn 0.5000 0.0000 0.9003  8 Sn 3.35-3.38, 2 Ca 3.35, 2 Th 3.40
16 Sn 0.0000 0.5000 0.0997  8 Sn 3.35-3.38, 2 Ca 3.35, 2 Th 3.40
17 Sn 0.0000 0.5000 0.3008  4 Th 3.33-3.35, 8 Sn 3.35-3.38
18 Sn 0.0000 0.5000 0.5000  4 Th 3.35, 8 Sn 3.35-3.38
19 Sn 0.0000 0.5000 0.6992  4 Th 3.33-3.35, 8 Sn 3.35-3.38
20 Sn 0.0000 0.5000 0.9003  8 Sn 3.35-3.38, 2 Ca 3.35, 2 Th 3.40

Entry 4:
Crystalline CaThSn2 at its relaxed geometry, computed with PBE-GGA.

Calculated values
The calculation puts the calculated volume at 120.7 Å³ per cell. As for the symmetry: Amm2 (38). As for the formation energy from the elements: -12.5 kcal/mol of atoms.

a b c (Å): 4.6957 4.3995 6.2932
angles (deg): 90.00 111.87 90.00
Last column: nearest neighbours and their distance in Å.
Fractional coordinates of all 4 atoms:
1 Ca 0.7187 0.0000 0.9768  5 Sn 3.16-3.26
2 Th 0.4501 0.5000 0.4389  7 Sn 3.24-3.50
3 Sn 0.1721 0.5000 0.8836  2 Sn 3.06, 1 Th 3.24, 4 Ca 3.26
4 Sn 0.9900 0.0000 0.5187  2 Sn 3.06, 1 Ca 3.16, 4 Th 3.25

Entry 5:
Crystalline CaTh2Sn at its relaxed geometry, computed with PBE-GGA.

Calculated values
The calculation puts the calculated volume at 120.3 Å³ per cell. As for the symmetry: P4/mmm (123). As for the formation energy from the elements: -4.8 kcal/mol of atoms.

a b c (Å): 5.1869 4.8164 4.8164
angles (deg): 90.00 90.00 90.00
Last column: nearest neighbours and their distance in Å.
Fractional coordinates of all 4 atoms:
1 Ca 0.5000 0.5000 0.5000  4 Sn 3.41, 8 Th 3.54
2 Sn 0.5000 0.0000 0.0000  4 Ca 3.41, 8 Th 3.54
3 Th 0.0000 0.0000 0.5000  4 Th 3.41, 4 Ca 3.54, 4 Sn 3.54
4 Th 0.0000 0.5000 0.0000  4 Th 3.41, 4 Sn 3.54, 4 Ca 3.54

Entry 6:
Crystalline CaThTlSn at its relaxed geometry, computed with PBE-GGA.

Calculated values
The calculation puts the calculated volume at 116.8 Å³ per cell. As for the symmetry: F-43m (216). As for the formation energy from the elements: -7.5 kcal/mol of atoms.

a b c (Å): 5.4862 5.4862 5.4862
angles (deg): 60.00 60.00 60.00
Last column: nearest neighbours and their distance in Å.
Fractional coordinates of all 4 atoms:
1 Tl 0.7500 0.7500 0.7500  4 Th 3.36, 4 Ca 3.36
2 Ca 0.5000 0.5000 0.5000  4 Tl 3.36, 4 Sn 3.36
3 Sn 0.2500 0.2500 0.2500  4 Th 3.36, 4 Ca 3.36
4 Th 0.0000 0.0000 0.0000  4 Tl 3.36, 4 Sn 3.36

Entry 7:
Crystalline Ca3TiSn at its relaxed geometry, computed with PBE-GGA.

Calculated values
The calculation puts the calculated volume at 206.2 Å³ per cell. As for the symmetry: Pm-3m (221). As for the formation energy from the elements: 13.0 kcal/mol of atoms.

a b c (Å): 5.9074 5.9074 5.9074
angles (deg): 90.00 90.00 90.00
Last column: nearest neighbours and their distance in Å.
Fractional coordinates of all 5 atoms:
1 Ca 0.0000 0.5000 0.0000  2 Sn 2.95
2 Ca 0.0000 0.0000 0.5000  2 Sn 2.95
3 Ca 0.5000 0.0000 0.0000  2 Sn 2.95
4 Sn 0.0000 0.0000 0.0000  6 Ca 2.95
5 Ti 0.5000 0.5000 0.5000  12 Ca 4.18

Entry 8:
Crystalline CaTiSn2 at its relaxed geometry, computed with PBE-GGA.

Calculated values
The calculation puts the calculated volume at 240.0 Å³ per cell. As for the symmetry: I-42d (122). As for the formation energy from the elements: 2.0 kcal/mol of atoms.

a b c (Å): 4.9608 4.9608 10.3628
angles (deg): 76.15 76.15 90.00
Last column: nearest neighbours and their distance in Å.
Fractional coordinates of all 8 atoms:
1 Ca 0.5000 0.5000 0.0000  4 Sn 3.19, 4 Ti 3.51
2 Ca 0.2500 0.7500 0.5000  4 Sn 3.19, 4 Ti 3.51
3 Sn 0.7056 0.1250 0.2500  2 Ti 2.86, 2 Sn 3.00, 2 Ca 3.19
4 Sn 0.0444 0.6250 0.2500  2 Ti 2.86, 2 Sn 3.00, 2 Ca 3.19
5 Sn 0.3750 0.2944 0.7500  2 Ti 2.86, 2 Sn 3.00, 2 Ca 3.19
6 Sn 0.8750 0.9556 0.7500  2 Ti 2.86, 2 Sn 3.00, 2 Ca 3.19
7 Ti 0.0000 0.0000 0.0000  4 Sn 2.86
8 Ti 0.7500 0.2500 0.5000  4 Sn 2.86

Entry 9:
Crystalline CaTiSn2 at its relaxed geometry, computed with PBE-GGA.

Calculated values
The calculation puts the calculated volume at 105.7 Å³ per cell. As for the symmetry: R-3m (166). As for the formation energy from the elements: -5.8 kcal/mol of atoms.

a b c (Å): 4.5336 4.5336 6.4899
angles (deg): 69.56 69.56 60.00
Last column: nearest neighbours and their distance in Å.
Fractional coordinates of all 4 atoms:
1 Ca 0.5000 0.5000 0.5000  6 Sn 3.21
2 Sn 0.2713 0.2713 0.1860  3 Ti 2.84
3 Sn 0.7287 0.7287 0.8140  3 Ti 2.84
4 Ti 0.0000 0.0000 0.0000  6 Sn 2.84

Entry 10:
Crystalline CaTiSn2 at its relaxed geometry, computed with PBE-GGA.

Calculated values
The calculation puts the calculated volume at 96.9 Å³ per cell. As for the symmetry: P4/mmm (123). As for the formation energy from the elements: -7.6 kcal/mol of atoms.

a b c (Å): 3.7146 3.7146 7.0219
angles (deg): 90.00 90.00 90.00
Last column: nearest neighbours and their distance in Å.
Fractional coordinates of all 4 atoms:
1 Ca 0.5000 0.5000 0.5000  8 Sn 3.32, 2 Ti 3.51, 4 Ca 3.71
2 Sn 0.0000 0.0000 0.7902  1 Sn 2.95, 4 Ti 3.01
3 Sn 0.0000 0.0000 0.2098  1 Sn 2.95, 4 Ti 3.01
4 Ti 0.5000 0.5000 0.0000  8 Sn 3.01

Entry 11:
Crystalline Ca2TiSn at its relaxed geometry, computed with PBE-GGA.

Calculated values
The calculation puts the calculated volume at 231.0 Å³ per cell. As for the symmetry: I-42d (122). As for the formation energy from the elements: 6.9 kcal/mol of atoms.

a b c (Å): 8.6369 8.6369 6.8475
angles (deg): 50.90 50.90 90.00
Last column: nearest neighbours and their distance in Å.
Fractional coordinates of all 8 atoms:
1 Ca 0.6330 0.1250 0.2500  2 Ca 3.10, 2 Sn 3.10, 2 Ti 3.20
2 Ca 0.1170 0.6250 0.2500  2 Ca 3.10, 2 Sn 3.10, 2 Ti 3.20
3 Ca 0.3750 0.3670 0.7500  2 Ca 3.10, 2 Sn 3.10, 2 Ti 3.20
4 Ca 0.8750 0.8830 0.7500  2 Ca 3.10, 2 Sn 3.10, 2 Ti 3.20
5 Sn 0.0000 0.0000 0.0000  2 Ti 3.10, 4 Ca 3.10
6 Sn 0.7500 0.2500 0.5000  2 Ti 3.10, 4 Ca 3.10
7 Ti 0.5000 0.5000 0.0000  2 Sn 3.10, 4 Ca 3.20
8 Ti 0.2500 0.7500 0.5000  2 Sn 3.10, 4 Ca 3.20

Entry 12:
Crystalline CaTi2Sn2 at its relaxed geometry, computed with PBE-GGA.

Calculated values
The calculation puts the calculated volume at 121.1 Å³ per cell. As for the symmetry: I4/mmm (139). As for the formation energy from the elements: -6.4 kcal/mol of atoms.

a b c (Å): 4.3247 4.3247 7.1618
angles (deg): 72.43 72.43 90.00
Last column: nearest neighbours and their distance in Å.
Fractional coordinates of all 5 atoms:
1 Ca 0.0000 0.0000 0.0000  8 Sn 3.38
2 Sn 0.3886 0.3886 0.2228  4 Ti 2.81, 1 Sn 2.89
3 Sn 0.6114 0.6114 0.7772  4 Ti 2.81, 1 Sn 2.89
4 Ti 0.7500 0.2500 0.5000  4 Sn 2.81, 4 Ti 3.06
5 Ti 0.2500 0.7500 0.5000  4 Sn 2.81, 4 Ti 3.06

Look up the calculated volume of the first one.
118.0 Å³ per cell